# 1
Crystalline AsHIr2 at its relaxed geometry. Source: Alexandria, functional PBE-GGA.

Results
Excess energy over the best structure of this formula in the dataset (eV per formula unit): 0.824
Crystal system: cubic
VASP energy (eV/atom): -6.07

The structure in POSCAR format:
```
AsHIr2
1.0
5.826 0.000 0.000
0.000 5.826 0.000
0.000 0.000 5.826
As H Ir
4 4 8
Cartesian
0.000 0.000 0.000
0.000 2.913 2.913
2.913 0.000 2.913
2.913 2.913 0.000
0.000 0.000 2.913
0.000 2.913 0.000
2.913 0.000 0.000
2.913 2.913 2.913
1.456 1.456 1.456
1.456 1.456 4.369
1.456 4.369 1.456
1.456 4.369 4.369
4.369 1.456 1.456
4.369 1.456 4.369
4.369 4.369 1.456
4.369 4.369 4.369
```

***

# 2
Crystalline AsH3Ir at its relaxed geometry. Source: Alexandria, functional PBE-GGA.

Results
Excess energy over the best structure of this formula in the dataset (eV per formula unit): 3.889
Crystal system: cubic
VASP energy (eV/atom): -3.48

The structure in POSCAR format:
```
AsH3Ir
1.0
3.583 0.000 0.000
0.000 3.583 0.000
0.000 0.000 3.583
As H Ir
1 3 1
Cartesian
0.000 0.000 0.000
0.000 0.000 1.792
0.000 1.792 0.000
1.792 0.000 0.000
1.792 1.792 1.792
```

***

# 3
Crystalline AsHIr2 at its relaxed geometry. Source: Alexandria, functional PBE-GGA.

Results
Excess energy over the best structure of this formula in the dataset (eV per formula unit): 0.000
Crystal system: tetragonal
VASP energy (eV/atom): -6.27

The structure in POSCAR format:
```
AsHIr2
1.0
4.896 0.000 0.000
0.000 4.896 0.000
0.000 0.000 9.045
As H Ir
4 4 8
Cartesian
0.000 0.000 0.000
0.000 2.448 2.261
2.448 0.000 6.784
2.448 2.448 4.522
0.000 0.000 4.522
0.000 2.448 6.784
2.448 0.000 2.261
2.448 2.448 0.000
0.681 1.224 5.653
1.224 3.130 7.914
1.224 4.215 3.392
1.767 1.224 1.131
3.130 3.672 1.131
3.672 0.681 3.392
3.672 1.767 7.914
4.215 3.672 5.653
```

***

# 4
Crystalline KAsH2Ir at its relaxed geometry. Source: Alexandria, functional PBE-GGA.

Results
Crystal system: tetragonal
VASP energy (eV/atom): -2.76

The structure in POSCAR format:
```
KAsH2Ir
1.0
3.976 0.000 0.000
0.000 3.976 0.000
0.000 0.000 6.717
K As H Ir
1 1 2 1
Cartesian
0.000 0.000 0.000
0.000 0.000 3.358
0.000 1.988 3.358
1.988 0.000 3.358
1.988 1.988 0.000
```

***

# 5
Crystalline LaAsH2Ir at its relaxed geometry. Source: Alexandria, functional PBE-GGA.

Results
Excess energy over the best structure of this formula in the dataset (eV per formula unit): 1.117
Crystal system: trigonal
VASP energy (eV/atom): -5.47

The structure in POSCAR format:
```
LaAsH2Ir
1.0
4.335 0.000 0.000
-2.168 3.755 0.000
0.000 0.000 14.166
La As H Ir
3 3 6 3
Cartesian
0.000 0.000 0.000
0.000 2.503 9.444
2.168 1.252 4.722
0.000 0.000 6.882
0.000 2.503 2.160
2.168 1.252 11.604
0.000 0.000 3.516
0.000 0.000 4.309
0.000 2.503 12.959
0.000 2.503 13.753
2.168 1.252 8.238
2.168 1.252 9.031
0.000 0.000 11.191
0.000 2.503 6.469
2.168 1.252 1.747
```

***

# 6
Crystalline LaAsH2Ir at its relaxed geometry. Source: Alexandria, functional PBE-GGA.

Results
Excess energy over the best structure of this formula in the dataset (eV per formula unit): 0.708
Crystal system: monoclinic
VASP energy (eV/atom): -5.55

The structure in POSCAR format:
```
LaAsH2Ir
1.0
8.029 0.000 0.000
0.000 4.571 0.000
-0.785 0.000 4.589
La As H Ir
2 2 4 2
Cartesian
0.000 0.000 0.000
4.014 2.286 0.000
1.352 2.286 2.097
5.366 0.000 2.097
-0.038 0.000 2.326
3.055 0.000 3.651
3.977 2.286 2.326
7.070 2.286 3.651
1.552 0.000 2.870
5.567 2.286 2.870
```

***

# 7
Crystalline LaAsH2Ir at its relaxed geometry. Source: Alexandria, functional PBE-GGA.

Results
Excess energy over the best structure of this formula in the dataset (eV per formula unit): 0.000
Crystal system: hexagonal
VASP energy (eV/atom): -5.70

The structure in POSCAR format:
```
LaAsH2Ir
1.0
4.321 0.000 0.000
-2.161 3.742 0.000
0.000 0.000 4.584
La As H Ir
1 1 2 1
Cartesian
0.000 0.000 0.000
2.161 1.247 2.292
0.000 2.495 0.626
0.000 2.495 3.958
0.000 2.495 2.292
```

***

# 8
Crystalline LaAsH2Ir at its relaxed geometry. Source: Alexandria, functional PBE-GGA.

Results
Excess energy over the best structure of this formula in the dataset (eV per formula unit): 1.212
Crystal system: triclinic
VASP energy (eV/atom): -5.45

The structure in POSCAR format:
```
LaAsH2Ir
1.0
4.368 0.000 0.000
-2.178 4.110 0.000
-0.109 -1.261 4.834
La As H Ir
1 1 2 1
Cartesian
0.000 0.000 0.000
2.176 0.950 2.266
-0.051 2.736 0.172
2.169 2.544 2.053
0.006 1.018 3.407
```

***

# 9
Crystalline LaAsH2Ir at its relaxed geometry. Source: Alexandria, functional PBE-GGA.

Results
Excess energy over the best structure of this formula in the dataset (eV per formula unit): 0.842
Crystal system: orthorhombic
VASP energy (eV/atom): -5.53

The structure in POSCAR format:
```
LaAsH2Ir
1.0
4.685 0.000 0.000
0.000 4.526 0.000
0.000 0.000 6.944
La As H Ir
2 2 4 2
Cartesian
0.000 0.000 0.000
0.000 2.263 3.472
2.343 0.000 4.686
2.343 2.263 1.214
0.000 0.000 4.605
0.000 2.263 1.133
2.343 0.000 0.574
2.343 2.263 4.046
2.343 0.000 2.197
2.343 2.263 5.669
```

***

# 10
Crystalline LaAsH2Ir at its relaxed geometry. Source: Alexandria, functional PBE-GGA.

Results
Excess energy over the best structure of this formula in the dataset (eV per formula unit): 0.066
Crystal system: monoclinic
VASP energy (eV/atom): -5.68

The structure in POSCAR format:
```
LaAsH2Ir
1.0
7.168 0.000 0.000
0.000 4.613 0.000
-0.132 0.000 4.460
La As H Ir
2 2 4 2
Cartesian
0.000 0.000 0.000
3.584 2.306 0.000
2.185 0.000 2.468
5.768 2.306 2.468
1.102 2.306 0.392
2.754 2.306 2.175
4.686 0.000 0.392
6.338 0.000 2.175
1.135 2.306 2.098
4.719 0.000 2.098
```

***

# 11
Crystalline LaAsH2Ir at its relaxed geometry. Source: Alexandria, functional PBE-GGA.

Results
Excess energy over the best structure of this formula in the dataset (eV per formula unit): 1.160
Crystal system: monoclinic
VASP energy (eV/atom): -5.46

The structure in POSCAR format:
```
LaAsH2Ir
1.0
7.070 0.000 0.000
0.000 4.398 0.000
-2.216 0.000 5.152
La As H Ir
2 2 4 2
Cartesian
0.000 0.000 0.000
3.535 2.199 0.000
-1.080 2.199 2.728
2.454 0.000 2.728
1.164 2.199 0.309
1.934 2.199 2.623
4.699 0.000 0.309
5.469 0.000 2.623
-0.005 0.000 2.970
3.530 2.199 2.970
```

***

# 12
Crystalline LaAsH2Ir at its relaxed geometry. Source: Alexandria, functional PBE-GGA.

Results
Excess energy over the best structure of this formula in the dataset (eV per formula unit): 0.139
Crystal system: trigonal
VASP energy (eV/atom): -5.67

The structure in POSCAR format:
```
LaAsH2Ir
1.0
4.224 0.000 0.000
-2.112 3.658 0.000
0.000 0.000 4.577
La As H Ir
1 1 2 1
Cartesian
0.000 0.000 0.000
2.112 1.219 2.426
0.000 2.439 0.523
2.112 1.219 4.532
0.000 2.439 2.242
```